Entry 1:
VASP calculation (PBE) on an optimized crystal structure of K2HgTe2.

Unit cell a=9.489 b=9.489 c=7.269 alpha=94.25 beta=94.25 gamma=44.34
Sites, in units of the cell vectors:
1 K 0.094 0.596 0.824
2 K 0.404 0.906 0.676
3 K 0.596 0.094 0.324
4 K 0.906 0.404 0.176
5 Hg 0.251 0.749 0.250
6 Hg 0.749 0.251 0.750
7 Te 0.107 0.605 0.334
8 Te 0.395 0.893 0.166
9 Te 0.605 0.107 0.834
10 Te 0.893 0.395 0.666

* energy: -0.092 Ha/atom
* magnetization: 0.000 μB/cell
* space-group type: C2/c


Entry 2:
VASP calculation (PBE) on an optimized crystal structure of KHg3Pd.

Unit cell a=13.414 b=13.414 c=13.414 alpha=156.70 beta=156.70 gamma=33.19
Sites, in units of the cell vectors:
1 K 0.000 0.000 0.000
2 K 0.750 0.250 0.500
3 Hg 0.349 0.349 0.000
4 Hg 0.370 0.122 0.248
5 Hg 0.651 0.651 0.000
6 Hg 0.874 0.122 0.752
7 Hg 0.878 0.126 0.248
8 Hg 0.878 0.630 0.752
9 Pd 0.130 0.630 0.500
10 Pd 0.370 0.870 0.500

* energy: -0.052 Ha/atom
* magnetization: 0.000 μB/cell
* distance to the lowest polymorph of the same formula: 0.273 eV/atom
* space-group type: I-4m2
* energy of formation from the pure elements: 0.032 eV per atom


Entry 3:
VASP calculation (PBE) on an optimized crystal structure of Tl2AgPt.

Unit cell a=4.971 b=4.971 c=4.971 alpha=60.00 beta=60.00 gamma=60.00
Sites, in units of the cell vectors:
1 Tl 0.000 0.000 0.000
2 Tl 0.250 0.250 0.250
3 Ag 0.750 0.750 0.750
4 Pt 0.500 0.500 0.500

* energy: -0.119 Ha/atom
* magnetization: 0.000 μB/cell
* distance to the lowest polymorph of the same formula: 0.111 eV/atom
* space-group type: F-43m
* energy of formation from the pure elements: 0.175 eV per atom


Entry 4:
VASP calculation (PBE) on an optimized crystal structure of BaZrRu2.

Unit cell a=3.460 b=3.460 c=8.171 alpha=90.00 beta=90.00 gamma=90.00
Sites, in units of the cell vectors:
1 Ba 0.000 0.000 0.000
2 Zr 0.500 0.500 0.608
3 Ru 0.000 0.000 0.436
4 Ru 0.500 0.500 0.309

* energy: -0.253 Ha/atom
* magnetization: 0.979 μB/cell
* distance to the lowest polymorph of the same formula: 0.246 eV/atom
* space-group type: P4mm
* energy of formation from the pure elements: 0.375 eV per atom